[1]
A relaxed structure of Zn2IrCl, computed with PBE.

a = 3.1260 Å, b = 3.2415 Å, c = 15.0486 Å
α = 90.00°, β = 90.00°, γ = 90.00°
Last column: nearest neighbours and their distance in Å.
Space group Imm2 (No. 44)
Asymmetric unit:
Zn1 0.0000 0.0000 0.0000 x2  4 Ir 2.51
Zn2 0.0000 0.5000 0.2086 x2  2 Ir 2.56, 4 Cl 2.66
Ir1 0.0000 0.0000 0.5740 x2  6 Zn 2.51-2.56
Cl1 0.0000 0.5000 0.8028 x2  4 Zn 2.66

Calculated values
The calculation puts the offset from the most stable computed form at 66 kJ/mol of formula units. As for the formation energy (no corrections): -95 meV/atom.

***

[2]
A relaxed structure of La2MgTl, computed with PBE.

a = 7.9363 Å, b = 7.9363 Å, c = 7.9363 Å
α = 90.00°, β = 90.00°, γ = 90.00°
Last column: nearest neighbours and their distance in Å.
Space group Fm-3m (No. 225)
Asymmetric unit:
La1 0.2500 0.2500 0.2500 x8  4 Tl 3.44, 4 Mg 3.44
Mg1 0.0000 0.0000 0.0000 x4  8 La 3.44
Tl1 0.0000 0.0000 0.5000 x4  8 La 3.44

Calculated values
The calculation puts the offset from the most stable computed form at 0 kJ/mol of formula units. Its formation energy is -0.28 eV per atom.

***

- Which formula does entry 2 have?
  La2MgTl

***

- Which of these has the highest offset from the most stable computed form?
  Zn2IrCl

***

- Which value of offset from the most stable computed form does entry 1 give?
  66 kJ/mol of formula units

***

- Among the records above, which one has the highest offset from the most stable computed form?
  Zn2IrCl